No. 1
DFT (PBE-GGA) results for a relaxed structure of LiPmTeSe.

Computed properties:
As for the total moment: 0.0 μB per cell. The calculation puts the raw total energy at -4.6373 eV per atom. As for the space group: No. 129.

a b c (Å): 4.7228 4.7228 9.7292
angles (deg): 90.00 90.00 90.00
Closest atoms and distances in Å follow each position.
Positions (direct):
Li: 0.0000 0.0000 0.0000  4 Te 2.83
Li: 0.5000 0.5000 0.0000  4 Te 2.83
Te: 0.5000 0.0000 0.1611  4 Li 2.83
Te: 0.0000 0.5000 0.8389  4 Li 2.83
Se: 0.0000 0.0000 0.5000  4 Pm 2.87
Pm: 0.5000 0.0000 0.6676  4 Se 2.87
Pm: 0.0000 0.5000 0.3324  4 Se 2.87
Se: 0.5000 0.5000 0.5000  4 Pm 2.87

---

No. 2
DFT (PBE-GGA) results for a relaxed structure of SrBePt3.

Computed properties:
The distance to the lowest polymorph of the same formula comes out at 0.3133 eV per atom. As for the total moment: 0.0 μB per cell. As for the space group: No. 12.

a b c (Å): 20.0898 8.3060 8.3060
angles (deg): 153.85 158.42 21.58
Closest atoms and distances in Å follow each position.
Positions (direct):
Pt: 0.6672 0.5373 0.4627  3 Be 2.33-2.49
Pt: 0.6770 0.3505 0.6495  2 Be 2.42
Pt: 0.3328 0.4627 0.5373  3 Be 2.33-2.49
Sr: 0.7889 0.0403 0.9597  6 Pt 2.93-3.12, 2 Be 3.12
Pt: 0.0191 0.3936 0.6064  1 Be 2.21
Be: 0.3830 0.9866 0.0134  5 Pt 2.21-2.42
Pt: 0.9809 0.6064 0.3936  1 Be 2.21
Sr: 0.2111 0.9597 0.0403  6 Pt 2.93-3.12, 2 Be 3.12
Be: 0.6170 0.0134 0.9866  5 Pt 2.21-2.42
Pt: 0.3230 0.6495 0.3505  2 Be 2.42

---

No. 3
DFT (PBE-GGA) results for a relaxed structure of Na3FeOs.

Computed properties:
The distance to the lowest polymorph of the same formula comes out at 0.0000 eV per atom. As for the total moment: 5.0 μB per cell. As for the space group: No. 221.

a b c (Å): 5.4569 5.4569 5.4569
angles (deg): 90.00 90.00 90.00
Closest atoms and distances in Å follow each position.
Positions (direct):
Os: 0.0000 0.0000 0.0000  6 Na 2.73
Na: 0.5000 0.0000 0.0000  2 Os 2.73
Na: 0.0000 0.5000 0.0000  2 Os 2.73
Na: 0.0000 0.0000 0.5000  2 Os 2.73
Fe: 0.5000 0.5000 0.5000  12 Na 3.86

---

No. 4
DFT (PBE-GGA) results for a relaxed structure of Pr3UTl4Se8.

Computed properties:
As for the total moment: 3.0 μB per cell. The calculation puts the raw total energy at -5.1760 eV per atom. As for the space group: No. 166.

a b c (Å): 8.6418 9.2283 8.6414
angles (deg): 117.94 120.00 90.00
Closest atoms and distances in Å follow each position.
Positions (direct):
Tl: 0.0000 0.0000 0.5000  6 Se 3.33-3.34
Pr: 0.0000 0.5000 0.5000  6 Se 2.99-3.01
Se: 0.7379 0.7135 0.4759  3 Pr 2.99-3.00, 3 Tl 3.34
Tl: 0.5000 0.0000 0.0000  6 Se 3.41
Se: 0.2323 0.7099 0.4646  1 U 2.92, 2 Pr 3.01
Pr: 0.5000 0.5000 0.0000  6 Se 3.00-3.01
U: 0.0000 0.5000 0.0000  6 Se 2.92
Se: 0.2621 0.2865 0.5241  3 Pr 2.99-3.00, 3 Tl 3.34
Se: 0.2323 0.7098 0.9779  1 U 2.92, 2 Pr 3.01
Tl: 0.0000 0.0000 0.0000  6 Se 3.34
Se: 0.7456 0.7098 0.9779  1 U 2.92, 2 Pr 3.01
Se: 0.2544 0.2902 0.0221  1 U 2.92, 2 Pr 3.01
Pr: 0.5000 0.5000 0.5000  6 Se 2.99-3.01
Se: 0.7677 0.2902 0.0221  1 U 2.92, 2 Pr 3.01
Se: 0.7677 0.2901 0.5354  1 U 2.92, 2 Pr 3.01
Tl: 0.5000 0.0000 0.5000  6 Se 3.33-3.34

---

No. 5
DFT (PBE-GGA) results for a relaxed structure of MnAl4Ni3.

Computed properties:
As for the total moment: 1.8 μB per cell. The calculation puts the raw total energy at -5.7272 eV per atom. As for the space group: No. 47.

a b c (Å): 2.8689 4.1327 8.2646
angles (deg): 90.00 90.00 90.00
Closest atoms and distances in Å follow each position.
Positions (direct):
Al: 0.0000 0.5000 0.2531  6 Ni 2.49-2.52, 2 Mn 2.54
Al: 0.0000 0.5000 0.7469  6 Ni 2.49-2.52, 2 Mn 2.54
Ni: 0.5000 0.0000 0.2492  8 Al 2.51-2.52
Al: 0.0000 0.0000 0.0000  4 Ni 2.51, 4 Mn 2.52
Ni: 0.5000 0.0000 0.7508  8 Al 2.51-2.52
Al: 0.0000 0.0000 0.5000  8 Ni 2.52
Ni: 0.5000 0.5000 0.5000  8 Al 2.49-2.52
Mn: 0.5000 0.5000 0.0000  8 Al 2.52-2.54

---

No. 6
DFT (PBE-GGA) results for a relaxed structure of Li2LaPbS.

Computed properties:
As for the total moment: 0.0 μB per cell. The calculation puts the raw total energy at -4.2120 eV per atom. As for the space group: No. 123.

a b c (Å): 4.7526 4.7526 5.6960
angles (deg): 90.00 90.00 90.00
Closest atoms and distances in Å follow each position.
Positions (direct):
Li: 0.0000 0.5000 0.0000  2 S 2.38
Li: 0.5000 0.0000 0.0000  2 S 2.38
Pb: 0.5000 0.5000 0.5000  4 La 3.36, 8 Li 3.71
S: 0.0000 0.0000 0.0000  4 Li 2.38
La: 0.0000 0.0000 0.5000  2 S 2.85

---

No. 7
DFT (PBE-GGA) results for a relaxed structure of ZnTe2Rh.

Computed properties:
As for the total moment: 0.0 μB per cell. The calculation puts the raw total energy at -3.6196 eV per atom. As for the space group: No. 47.

a b c (Å): 3.4128 3.2244 7.7762
angles (deg): 90.00 90.00 90.00
Closest atoms and distances in Å follow each position.
Positions (direct):
Zn: 0.5000 0.5000 0.2500  8 Te 3.22, 4 Zn 3.22-3.41
Te: 0.0000 0.0000 0.9669  4 Rh 2.89, 4 Zn 3.22, 2 Te 3.22
Rh: 0.5000 0.5000 0.7500  8 Te 2.89, 2 Rh 3.22
Te: 0.0000 0.0000 0.5331  4 Rh 2.89, 4 Zn 3.22, 2 Te 3.22

---

No. 8
DFT (PBE-GGA) results for a relaxed structure of ZrP2Br.

Computed properties:
The distance to the lowest polymorph of the same formula comes out at 0.3649 eV per atom. As for the total moment: 0.0 μB per cell. As for the space group: No. 160.

a b c (Å): 9.6120 9.6120 9.6120
angles (deg): 19.80 19.80 19.80
Closest atoms and distances in Å follow each position.
Positions (direct):
P: 0.9663 0.9663 0.9663  3 P 2.31
Br: 0.7724 0.7724 0.7724  3 Zr 2.73
Zr: 0.5079 0.5079 0.5079  3 Br 2.73, 3 P 2.94
P: 0.2535 0.2535 0.2535  3 P 2.31

---

No. 9
DFT (PBE-GGA) results for a relaxed structure of Li4CaRe.

Computed properties:
As for the total moment: 1.0 μB per cell. The calculation puts the raw total energy at -3.1531 eV per atom. As for the space group: No. 216.

a b c (Å): 5.2837 5.2837 5.2837
angles (deg): 60.00 60.00 60.00
Closest atoms and distances in Å follow each position.
Positions (direct):
Li: 0.8632 0.3789 0.3789  6 Li 2.56-2.73
Li: 0.3789 0.3789 0.3789  6 Li 2.56-2.73
Li: 0.3789 0.8632 0.3789  6 Li 2.56-2.73
Re: 0.7500 0.7500 0.7500  12 Li 3.09, 4 Ca 3.24
Li: 0.3789 0.3789 0.8632  6 Li 2.56-2.73
Ca: 0.0000 0.0000 0.0000  12 Li 3.11, 4 Re 3.24

---

No. 10
DFT (PBE-GGA) results for a relaxed structure of Sr2PuTaN5.

Computed properties:
As for the total moment: 4.0 μB per cell. The calculation puts the raw total energy at -8.7546 eV per atom. As for the space group: No. 36.

a b c (Å): 3.3671 6.9883 12.2596
angles (deg): 90.00 90.00 103.94
Closest atoms and distances in Å follow each position.
Positions (direct):
Sr: 0.0831 0.1661 0.6675  4 N 2.49-2.59
Pu: 0.4671 0.9341 0.4420  4 N 1.94-2.15
Sr: 0.1616 0.3233 0.2996  5 N 2.52-2.80
Sr: 0.9169 0.8339 0.1675  4 N 2.49-2.59
Pu: 0.5329 0.0659 0.9420  4 N 1.94-2.15
N: 0.3724 0.7448 0.9909  1 Ta 2.02, 1 Pu 2.26
N: 0.0679 0.1358 0.0447  2 Pu 2.15, 1 Ta 2.19
N: 0.2644 0.5288 0.6364  2 Ta 2.10
N: 0.9321 0.8642 0.5447  2 Pu 2.15, 1 Ta 2.19
Sr: 0.8384 0.6767 0.7996  5 N 2.52-2.80
N: 0.6858 0.3716 0.9173  1 Pu 2.10, 2 Ta 2.29
N: 0.5094 0.0187 0.2908  1 Pu 1.94
N: 0.6276 0.2552 0.4909  1 Ta 2.02, 1 Pu 2.26
Ta: 0.7708 0.5416 0.5349  4 N 2.02-2.19
N: 0.3142 0.6284 0.4173  1 Pu 2.10, 2 Ta 2.29
N: 0.4906 0.9813 0.7908  1 Pu 1.94
N: 0.7356 0.4712 0.1364  2 Ta 2.10
Ta: 0.2292 0.4584 0.0349  4 N 2.02-2.19

---

No. 11
DFT (PBE-GGA) results for a relaxed structure of ThMgPt2.

Computed properties:
As for the total moment: 0.0 μB per cell. The calculation puts the raw total energy at -6.2042 eV per atom. As for the space group: No. 123.

a b c (Å): 3.5388 4.8397 4.8397
angles (deg): 90.00 90.00 90.00
Closest atoms and distances in Å follow each position.
Positions (direct):
Mg: 0.5000 0.0000 0.0000  8 Pt 3.00
Pt: 0.0000 0.5000 0.0000  4 Mg 3.00, 4 Th 3.00
Th: 0.5000 0.5000 0.5000  8 Pt 3.00
Pt: 0.0000 0.0000 0.5000  4 Th 3.00, 4 Mg 3.00

---

No. 12
DFT (PBE-GGA) results for a relaxed structure of Ca4CuHg.

Computed properties:
The distance to the lowest polymorph of the same formula comes out at 0.6966 eV per atom. As for the total moment: 0.0 μB per cell. As for the space group: No. 216.

a b c (Å): 6.6599 6.6599 6.6599
angles (deg): 60.00 60.00 60.00
Closest atoms and distances in Å follow each position.
Positions (direct):
Ca: 0.3751 0.3751 0.3751  6 Ca 3.33
Hg: 0.0000 0.0000 0.0000  12 Ca 3.90, 4 Cu 4.08
Ca: 0.8748 0.3751 0.3751  6 Ca 3.33
Ca: 0.3751 0.3751 0.8748  6 Ca 3.33
Ca: 0.3751 0.8748 0.3751  6 Ca 3.33
Cu: 0.7500 0.7500 0.7500  12 Ca 3.90, 4 Hg 4.08

---

Q: The highest total moment belongs to which entry?
A: Na3FeOs

---

Copy entry 5 word for word.
DFT (PBE-GGA) results for a relaxed structure of MnAl4Ni3.

Computed properties:
As for the total moment: 1.8 μB per cell. The calculation puts the raw total energy at -5.7272 eV per atom. As for the space group: No. 47.

a b c (Å): 2.8689 4.1327 8.2646
angles (deg): 90.00 90.00 90.00
Closest atoms and distances in Å follow each position.
Positions (direct):
Al: 0.0000 0.5000 0.2531  6 Ni 2.49-2.52, 2 Mn 2.54
Al: 0.0000 0.5000 0.7469  6 Ni 2.49-2.52, 2 Mn 2.54
Ni: 0.5000 0.0000 0.2492  8 Al 2.51-2.52
Al: 0.0000 0.0000 0.0000  4 Ni 2.51, 4 Mn 2.52
Ni: 0.5000 0.0000 0.7508  8 Al 2.51-2.52
Al: 0.0000 0.0000 0.5000  8 Ni 2.52
Ni: 0.5000 0.5000 0.5000  8 Al 2.49-2.52
Mn: 0.5000 0.5000 0.0000  8 Al 2.52-2.54

---

Q: What is the formula in the third record?
A: Na3FeOs